A plane-wave DFT calculation with GGA-PBE was carried out for a geometry-optimized PPb2Br2O4 structure.

The energy relative to the elements, uncorrected comes out at -8.6 eV/f.u.

It has space group I4/mmm (No. 139), with a = 6.120 Å, b = 6.120 Å, c = 8.790 Å, α = 90.00°, β = 90.00° and γ = 90.00°. The asymmetric unit holds P at (0.000, 0.000, 0.000), Pb at (0.000, 0.500, 0.250), Br at (0.000, 0.000, 0.312) and O at (0.186, 0.186, 0.000).